Here is Na16Tl12H after structural relaxation from the Alexandria database. Energies are from PBE.

## Properties
Calculated density (g/cm3): 5.5
Spin magnetization (μB per formula unit): 0.0

Unit cell a=11.961 b=16.333 c=10.573 alpha=90.00 beta=124.11 gamma=90.00
Space group Cm (No. 8)
Asymmetric unit:
1 Na 0.000 0.000 0.000 [2 per cell]
2 Na 0.006 0.295 0.602 [4 per cell]
3 Na 0.014 0.000 0.329 [2 per cell]
4 Na 0.041 0.376 0.302 [4 per cell]
5 Na 0.186 0.202 0.980 [4 per cell]
6 Na 0.285 0.000 0.001 [2 per cell]
7 Na 0.317 0.324 0.293 [4 per cell]
8 Na 0.326 0.368 0.709 [4 per cell]
9 Na 0.382 0.000 0.626 [2 per cell]
10 Na 0.406 0.155 0.865 [4 per cell]
11 Tl 0.081 0.098 0.668 [4 per cell]
12 Tl 0.101 0.500 0.089 [2 per cell]
13 Tl 0.187 0.200 0.489 [4 per cell]
14 Tl 0.203 0.398 0.918 [4 per cell]
15 Tl 0.271 0.098 0.291 [4 per cell]
16 Tl 0.304 0.500 0.462 [2 per cell]
17 Tl 0.493 0.299 0.115 [4 per cell]
18 H 0.267 0.500 0.829 [2 per cell]


Here is PrB4Os after structural relaxation from the Alexandria database. Energies are from PBE.

## Properties
Calculated density (g/cm3): 9.5
Spin magnetization (μB per formula unit): 0.0
ΔE_f (eV/f.u.): -2.629

Unit cell a=6.104 b=11.807 c=3.650 alpha=90.00 beta=90.00 gamma=90.00
Space group Pbam (No. 55)
Asymmetric unit:
1 Pr 0.126 0.150 0.000 [4 per cell]
2 B 0.026 0.688 0.500 [4 per cell]
3 B 0.110 0.545 0.500 [4 per cell]
4 B 0.141 0.969 0.500 [4 per cell]
5 B 0.218 0.816 0.500 [4 per cell]
6 Os 0.138 0.408 0.000 [4 per cell]


Number 1: E_tot -109.91 eV/cell. Number 2: E_tot -181.39 eV/cell.